PBE with a Hubbard U Li2Ti3NiO8, relaxed; E_tot = -105.26 eV for the cell shown; spin magnetization = 2.049 μB per cell; D(E_F) = 0.00 states/eV/cell; excess energy over the best structure of this formula in the dataset = 0.0389 eV/atom
1.0
2.982 1.722 4.891
-2.982 1.722 4.891
0.000 -3.443 4.891
Li Ti Ni O
2 3 1 8
direct
0.000 0.000 0.000
0.383 0.383 0.383
0.380 0.380 0.889
0.380 0.889 0.380
0.889 0.380 0.380
0.764 0.764 0.764
0.133 0.133 0.590
0.133 0.590 0.133
0.141 0.141 0.141
0.167 0.631 0.631
0.590 0.133 0.133
0.622 0.622 0.622
0.631 0.167 0.631
0.631 0.631 0.167